The following is a GGA-PBEsol calculation of crystalline SrAl2B2O7 at its relaxed geometry, from Alexandria via LeMat-Bulk.

a b c (Å): 4.9215 4.9215 47.9710
angles (deg): 90.00 90.00 120.00
Space group R-3c (No. 167, hexagonal axes)
Inequivalent atoms, fractional coordinates:
Sr1 0.0000 0.0000 0.0000
Al1 0.0000 0.0000 0.2149
B1 0.0000 0.0000 0.1330
O1 0.0000 0.0000 0.2500
O2 0.0294 0.4204 0.0325

Calculated values
DFT total energy   -94.9 eV per formula unit
Raw formation energy   -3295 kJ/mol of formula units
Crystal system   trigonal

=====

The following is a GGA-PBEsol calculation of crystalline SrAlBO4 at its relaxed geometry, from Alexandria via LeMat-Bulk.

a b c (Å): 8.882 14.204 5.798
angles (deg): 90.00 90.00 90.00
Space group Pccn (No. 56)
Inequivalent atoms, fractional coordinates:
Sr1 0.082 0.151 0.210
Al1 0.210 0.571 0.623
B1 0.097 0.088 0.715
O1 0.027 0.538 0.718
O2 0.117 0.181 0.769
O3 0.194 0.625 0.352
O4 0.209 0.044 0.582

Calculated values
DFT total energy   -53.8 eV per formula unit
Raw formation energy   -1920 kJ/mol of formula units
Crystal system   orthorhombic

=====

The following is a GGA-PBEsol calculation of crystalline SrAl2B2O7 at its relaxed geometry, from Alexandria via LeMat-Bulk.

a b c (Å): 4.9098 4.9098 24.0931
angles (deg): 90.00 90.00 120.00
Space group R32 (No. 155, hexagonal axes)
Inequivalent atoms, fractional coordinates:
Sr1 0.0000 0.0000 0.0000
Al1 0.0000 0.0000 0.4301
B1 0.0000 0.0000 0.2656
O1 0.0000 0.0000 0.5000
O2 0.0294 0.6108 0.9346

Calculated values
DFT total energy   -94.9 eV per formula unit
Raw formation energy   -3294 kJ/mol of formula units
Crystal system   trigonal

=====

The following is a GGA-PBEsol calculation of crystalline AlBOs3 at its relaxed geometry, from Alexandria via LeMat-Bulk.

a b c (Å): 4.341 4.341 4.341
angles (deg): 90.00 90.00 90.00
Space group Pm-3m (No. 221)
Inequivalent atoms, fractional coordinates:
Al1 0.000 0.000 0.000
B1 0.500 0.500 0.500
Os1 0.000 0.000 0.500

Calculated values
DFT total energy   -34.1 eV per formula unit
Crystal system   cubic

=====

The following is a GGA-PBEsol calculation of crystalline Al2BOsPd at its relaxed geometry, from Alexandria via LeMat-Bulk.

a b c (Å): 4.482 4.482 4.918
angles (deg): 90.00 90.00 90.00
Space group P4/mmm (No. 123)
Inequivalent atoms, fractional coordinates:
Al1 0.000 0.500 0.000
B1 0.000 0.000 0.500
Os1 0.500 0.500 0.500
Pd1 0.500 0.500 0.000

Calculated values
DFT total energy   -24.5 eV per formula unit
Crystal system   tetragonal

=====

The following is a GGA-PBEsol calculation of crystalline Al2BOsRh at its relaxed geometry, from Alexandria via LeMat-Bulk.

a b c (Å): 4.111 4.111 3.891
angles (deg): 90.00 90.00 90.00
Space group P4/mmm (No. 123)
Inequivalent atoms, fractional coordinates:
Al1 0.000 0.500 0.000
B1 0.000 0.000 0.000
Os1 0.000 0.000 0.500
Rh1 0.500 0.500 0.500

Calculated values
DFT total energy   -35.3 eV per formula unit
Crystal system   tetragonal

=====

The following is a GGA-PBEsol calculation of crystalline AlBP2 at its relaxed geometry, from Alexandria via LeMat-Bulk.

a b c (Å): 5.079 5.079 9.627
angles (deg): 90.00 90.00 90.00
Space group I-42d (No. 122)
Inequivalent atoms, fractional coordinates:
Al1 0.000 0.000 0.000
B1 0.000 0.000 0.500
P1 0.190 0.250 0.625

Calculated values
DFT total energy   -24.1 eV per formula unit
Crystal system   tetragonal

=====

The following is a GGA-PBEsol calculation of crystalline AlBP3 at its relaxed geometry, from Alexandria via LeMat-Bulk.

a b c (Å): 4.094 4.094 4.094
angles (deg): 90.00 90.00 90.00
Space group Pm-3m (No. 221)
Inequivalent atoms, fractional coordinates:
Al1 0.000 0.000 0.000
B1 0.500 0.500 0.500
P1 0.000 0.500 0.500

Calculated values
DFT total energy   -25.3 eV per formula unit
Crystal system   cubic

=====

The following is a GGA-PBEsol calculation of crystalline AlB2Pb at its relaxed geometry, from Alexandria via LeMat-Bulk.

a b c (Å): 6.195 6.195 6.195
angles (deg): 90.00 90.00 90.00
Space group Fm-3m (No. 225)
Inequivalent atoms, fractional coordinates:
Al1 0.000 0.000 0.000
B1 0.250 0.250 0.250
Pb1 0.000 0.000 0.500

Calculated values
DFT total energy   -16.3 eV per formula unit
Crystal system   cubic

=====

The following is a GGA-PBEsol calculation of crystalline Sc2AlBPb at its relaxed geometry, from Alexandria via LeMat-Bulk.

a b c (Å): 5.222 5.222 3.893
angles (deg): 90.00 90.00 90.00
Space group P4/mmm (No. 123)
Inequivalent atoms, fractional coordinates:
Sc1 0.000 0.500 0.000
Al1 0.000 0.000 0.000
B1 0.000 0.000 0.500
Pb1 0.500 0.500 0.500

Calculated values
DFT total energy   -25.9 eV per formula unit
Crystal system   tetragonal

=====

The following is a GGA-PBEsol calculation of crystalline AlB3Pd at its relaxed geometry, from Alexandria via LeMat-Bulk.

a b c (Å): 4.046 4.046 4.046
angles (deg): 90.00 90.00 90.00
Space group Pm-3m (No. 221)
Inequivalent atoms, fractional coordinates:
Al1 0.000 0.000 0.000
B1 0.000 0.000 0.500
Pd1 0.500 0.500 0.500

Calculated values
DFT total energy   -21.9 eV per formula unit
Crystal system   cubic
Energy above the lowest structure with this stoichiometry   2.44 eV/f.u.

=====

The following is a GGA-PBEsol calculation of crystalline AlB3Pd at its relaxed geometry, from Alexandria via LeMat-Bulk.

a b c (Å): 4.073 4.073 4.073
angles (deg): 90.00 90.00 90.00
Space group Pm-3m (No. 221)
Inequivalent atoms, fractional coordinates:
Al1 0.000 0.000 0.000
B1 0.000 0.500 0.500
Pd1 0.500 0.500 0.500

Calculated values
DFT total energy   -24.3 eV per formula unit
Crystal system   cubic
Energy above the lowest structure with this stoichiometry   0.00 eV/f.u.

=====

Look up the DFT total energy of the seventh one. -24.1 eV per formula unit

=====

Which value of DFT total energy does entry 11 give? -21.9 eV per formula unit